Record 1
Below is a relaxed structure of Li2Mn3SnO8, with properties calculated at the PBE with a Hubbard U level.

Structure (POSCAR):
```
Li2Mn3SnO8
1.0
6.075 0.003 -0.002
0.229 6.219 -0.010
-0.099 0.275 8.434
Li Mn Sn O
4 6 2 16
direct
0.006 0.249 0.117
0.502 0.750 0.621
0.998 0.750 0.879
0.494 0.251 0.383
0.750 0.250 0.750
0.750 0.750 0.250
0.250 0.250 0.750
0.004 0.503 0.502
0.496 0.997 0.998
0.250 0.750 0.250
0.008 0.001 0.500
0.492 0.499 0.000
0.007 0.545 0.266
0.502 0.042 0.764
0.998 0.458 0.736
0.493 0.955 0.234
0.249 0.758 0.478
0.737 0.263 0.982
0.784 0.746 0.490
0.273 0.239 0.982
0.021 0.981 0.254
0.461 0.480 0.755
0.039 0.020 0.745
0.479 0.519 0.246
0.227 0.261 0.518
0.716 0.754 0.010
0.763 0.237 0.518
0.251 0.742 0.022
```

Properties
Polymorph energy (0 for the lowest one) ... 18 meV per atom

***

Record 2
Below is a relaxed structure of Li2Mn3SnO8, with properties calculated at the PBE with a Hubbard U level.

Structure (POSCAR):
```
Li2Mn3SnO8
1.0
-4.795 3.507 -0.705
-3.485 -0.794 -4.798
-5.447 -2.362 0.739
Li Mn Sn O
2 3 1 8
direct
0.882 0.882 0.882
0.504 0.504 0.504
0.985 0.504 0.504
0.504 0.985 0.504
0.504 0.504 0.985
0.111 0.111 0.111
0.747 0.747 0.747
0.749 0.749 0.294
0.749 0.294 0.749
0.294 0.749 0.749
0.708 0.256 0.256
0.256 0.708 0.256
0.256 0.256 0.708
0.250 0.250 0.250
```

Properties
Polymorph energy (0 for the lowest one) ... 94 meV per atom

***

Record 3
Below is a relaxed structure of Li3Mn2SnO6, with properties calculated at the PBE with a Hubbard U level.

Structure (POSCAR):
```
Li3Mn2SnO6
1.0
3.072 0.000 0.000
0.000 6.094 0.017
-1.536 -1.404 6.673
Li Mn Sn O
3 2 1 6
direct
0.000 0.000 0.000
0.668 0.324 0.337
0.332 0.676 0.663
0.669 0.845 0.338
0.331 0.155 0.662
0.000 0.500 0.000
0.157 0.597 0.315
0.843 0.403 0.685
0.834 0.931 0.669
0.166 0.069 0.331
0.505 0.267 0.010
0.495 0.733 0.990
```

Properties
Polymorph energy (0 for the lowest one) ... 16 meV per atom

***

Record 4
Below is a relaxed structure of Li2MnSnO4, with properties calculated at the PBE with a Hubbard U level.

Structure (POSCAR):
```
Li2MnSnO4
1.0
-3.733 -0.723 1.942
-1.095 -2.708 -3.113
4.378 -1.879 3.022
Li Mn Sn O
2 1 1 4
direct
0.750 0.250 0.500
0.000 0.000 0.000
0.500 0.500 0.000
0.250 0.750 0.500
0.465 0.965 0.930
0.035 0.535 0.070
0.257 0.257 0.513
0.743 0.743 0.487
```

Properties
Polymorph energy (0 for the lowest one) ... 0 meV per atom

***

Record 5
Below is a relaxed structure of Li3Mn2SnO6, with properties calculated at the PBE with a Hubbard U level.

Structure (POSCAR):
```
Li3Mn2SnO6
1.0
6.117 0.022 -0.004
-1.409 6.785 -0.043
-0.005 -1.390 6.042
Li Mn Sn O
6 4 2 12
direct
0.834 0.334 0.833
0.833 0.334 0.333
0.506 0.988 0.034
0.514 0.002 0.505
0.152 0.665 0.162
0.161 0.678 0.633
0.987 0.991 0.997
0.679 0.676 0.670
0.989 0.998 0.495
0.678 0.668 0.172
0.333 0.333 0.833
0.333 0.333 0.333
0.230 0.014 0.728
0.235 0.019 0.271
0.436 0.653 0.939
0.432 0.648 0.395
0.895 0.662 0.941
0.903 0.661 0.396
0.764 0.006 0.270
0.772 0.004 0.726
0.560 0.307 0.077
0.567 0.332 0.585
0.100 0.334 0.082
0.106 0.359 0.589
```

Properties
Polymorph energy (0 for the lowest one) ... 2 meV per atom

***

Record 6
Below is a relaxed structure of Li2Mn3SnO8, with properties calculated at the PBE with a Hubbard U level.

Structure (POSCAR):
```
Li2Mn3SnO8
1.0
-1.881 -0.985 5.697
4.583 -3.105 -2.512
6.322 6.706 3.246
Li Mn Sn O
4 6 2 16
direct
0.154 0.846 0.103
0.489 0.511 0.008
0.511 0.489 0.508
0.846 0.154 0.603
0.835 0.671 0.785
0.329 0.165 0.785
0.328 0.672 0.786
0.672 0.328 0.286
0.671 0.835 0.285
0.165 0.329 0.285
0.184 0.816 0.510
0.816 0.184 0.010
0.835 0.639 0.404
0.027 0.973 0.660
0.168 0.832 0.885
0.492 0.508 0.696
0.508 0.492 0.196
0.361 0.165 0.404
0.036 0.520 0.661
0.480 0.964 0.661
0.646 0.354 0.901
0.354 0.646 0.401
0.520 0.036 0.161
0.964 0.480 0.161
0.832 0.168 0.385
0.639 0.835 0.904
0.973 0.027 0.160
0.165 0.361 0.904
```

Properties
Polymorph energy (0 for the lowest one) ... 0 meV per atom

***

Record 7
Below is a relaxed structure of Li3Mn2SnO6, with properties calculated at the PBE with a Hubbard U level.

Structure (POSCAR):
```
Li3Mn2SnO6
1.0
-1.947 -5.791 -1.174
2.766 3.444 -5.313
5.999 -0.984 3.212
Li Mn Sn O
6 4 2 12
direct
0.752 0.002 0.500
0.248 0.998 0.500
0.766 0.353 0.849
0.232 0.298 0.834
0.768 0.702 0.166
0.234 0.647 0.151
0.510 0.848 0.840
0.490 0.152 0.160
0.004 0.844 0.836
0.996 0.156 0.164
0.500 0.500 0.500
0.000 0.500 0.500
0.653 0.603 0.819
0.112 0.605 0.821
0.888 0.395 0.179
0.347 0.397 0.181
0.662 0.941 0.173
0.116 0.937 0.175
0.884 0.063 0.825
0.338 0.059 0.827
0.638 0.269 0.508
0.145 0.278 0.522
0.855 0.722 0.478
0.362 0.731 0.492
```

Properties
Polymorph energy (0 for the lowest one) ... 0 meV per atom

***

Record 8
Below is a relaxed structure of LiMn2SnO4, with properties calculated at the PBE with a Hubbard U level.

Structure (POSCAR):
```
LiMn2SnO4
1.0
-2.389 4.108 -0.925
-0.969 -1.570 -4.476
-2.436 -3.301 4.304
Li Mn Sn O
1 2 1 4
direct
0.000 0.000 0.000
0.750 0.250 0.500
0.250 0.750 0.500
0.500 0.500 0.000
0.628 0.628 0.753
0.372 0.875 0.247
0.875 0.372 0.247
0.125 0.125 0.753
```

Properties
Final energy ... -6.623 eV per atom

***

Calculated values (Å³/cell) of calculated volume for the records, taken in order: 319 155 125 87 251 304 252 114.